! In2B2O7 PBE relaxed; values from VASP
&SYSTEM
  ibrav = 0, nat = 11, ntyp = 3
/
ATOMIC_SPECIES
O 16.00 O.upf
In 114.82 In.upf
B 10.81 B.upf
CELL_PARAMETERS angstrom
-4.169 0.716 -1.328
-1.110 -3.603 3.802
0.704 4.651 2.558
ATOMIC_POSITIONS crystal
O 0.000 0.000 0.000
O 0.799 0.643 0.643
O 0.270 0.911 0.626
O 0.270 0.626 0.911
O 0.730 0.374 0.089
O 0.730 0.089 0.374
O 0.201 0.357 0.357
In 0.500 0.694 0.306
In 0.500 0.306 0.694
B 0.094 0.795 0.795
B 0.906 0.205 0.205
! Space group: C2/m (12)
! Uncorrected energy in eV/atom: -6.47